Density functional theory data (PBE with a Hubbard U) for Na4Al3CrP8O28 after structural relaxation.

Results
Energy in eV per atom: -7.08
Space group: P1
V in Å³ per atom: 11.5

Cell lengths 7.3112, 7.8591, 9.4565 Å; angles 90.11, 111.63, 90.15 degrees
Closest atoms and distances in Å follow each position.
Fractional positions:
1 Al 0.7418 0.4905 0.2519  6 O 1.87-1.96
2 Al 0.2592 0.5104 0.7475  6 O 1.87-1.99
3 Al 0.2604 0.9892 0.2480  6 O 1.88-2.00
4 O 0.0032 0.0830 0.1451  1 P 1.54
5 O 0.0104 0.9154 0.8559  1 P 1.54
6 O 0.3583 0.1049 0.1013  1 P 1.54
7 O 0.0002 0.5842 0.3542  1 P 1.53
8 O 0.0011 0.4190 0.6458  1 P 1.54
9 O 0.1901 0.7072 0.6185  1 P 1.53
10 O 0.6826 0.7981 0.6144  1 P 1.53
11 O 0.6393 0.8934 0.9073  1 P 1.54
12 O 0.1163 0.1489 0.5565  2 P 1.62-1.63
13 O 0.1846 0.8637 0.3865  1 P 1.51
14 O 0.8135 0.2155 0.8841  1 P 1.53
15 O 0.3547 0.3951 0.6002  1 P 1.54
16 O 0.8098 0.2980 0.3795  1 P 1.52
17 O 0.8767 0.8529 0.4395  2 P 1.63
18 O 0.6405 0.6047 0.3929  1 P 1.54
19 O 0.3122 0.3077 0.8816  1 P 1.53
20 O 0.8045 0.1446 0.6052  1 P 1.51
21 O 0.6882 0.6866 0.1195  1 P 1.52
22 O 0.5233 0.5851 0.8420  1 P 1.52
23 O 0.3132 0.1911 0.3818  1 P 1.53
24 O 0.1287 0.3545 0.0648  2 P 1.62-1.64
25 O 0.4809 0.4117 0.1571  1 P 1.52
26 O 0.5233 0.9132 0.3413  1 P 1.52
27 O 0.1864 0.6339 0.8881  1 P 1.51
28 O 0.8760 0.6484 0.9377  2 P 1.63-1.64
29 O 0.4637 0.0855 0.6579  1 P 1.52
30 O 0.8221 0.3638 0.1180  1 P 1.51
31 O 0.1908 0.7914 0.1197  1 P 1.52
32 P 0.3244 0.2085 0.5455  4 O 1.52-1.63
33 P 0.9258 0.2601 0.5463  4 O 1.51-1.62
34 P 0.6688 0.7901 0.4493  4 O 1.52-1.63
35 P 0.3325 0.2916 0.0476  4 O 1.52-1.64
36 P 0.0723 0.7450 0.4512  4 O 1.51-1.63
37 P 0.0747 0.7533 0.9522  4 O 1.51-1.63
38 P 0.9338 0.2467 0.0525  4 O 1.51-1.62
39 P 0.6698 0.7048 0.9546  4 O 1.52-1.64
40 Na 0.7094 0.4714 0.7050  5 O 2.37-2.56
41 Na 0.7106 0.0272 0.2036  5 O 2.38-2.63
42 Na 0.2918 0.5253 0.2960  5 O 2.40-2.61
43 Na 0.2911 0.9772 0.7989  4 O 2.31-2.56
44 Cr 0.7391 0.0073 0.7535  6 O 1.96-2.06